Record 1
DFT (GGA-PBEsol) results for LiAl2Tc after structural relaxation.

a = 4.2281 Å, b = 4.2281 Å, c = 3.0810 Å
α = 90.00°, β = 90.00°, γ = 90.00°
Last column: nearest neighbours and their distance in Å.
Sites, in units of the cell vectors:
Li: 0.0000 0.0000 0.0000  8 Al 2.62
Al: 0.0000 0.5000 0.5000  4 Tc 2.62, 4 Li 2.62
Al: 0.5000 0.0000 0.5000  4 Tc 2.62, 4 Li 2.62
Tc: 0.5000 0.5000 0.0000  8 Al 2.62

SG ... P4/mmm, No. 123
Final energy ... -5.63 eV per atom
ΔH_f (0 K) ... -0.277 eV per atom
D(E_F) ... 0.55 states/eV/atom
Magnetization ... 0.000 μB/cell



Record 2
DFT (GGA-PBEsol) results for CeNi5 after structural relaxation.

a = 4.8024 Å, b = 4.8024 Å, c = 3.9303 Å
α = 90.00°, β = 90.00°, γ = 120.00°
Last column: nearest neighbours and their distance in Å.
Sites, in units of the cell vectors:
Ce: 0.0000 0.0000 0.0000  18 Ni 2.77-3.10
Ni: 0.0000 0.5000 0.5000  8 Ni 2.40
Ni: 0.3333 0.6667 0.0000  6 Ni 2.40
Ni: 0.5000 0.0000 0.5000  8 Ni 2.40
Ni: 0.5000 0.5000 0.5000  8 Ni 2.40
Ni: 0.6667 0.3333 0.0000  6 Ni 2.40

SG ... P6/mmm, No. 191
Final energy ... -6.56 eV per atom
ΔH_f (0 K) ... -0.327 eV per atom
D(E_F) ... 1.11 states/eV/atom
Magnetization ... 0.744 μB/cell



Record 3
DFT (GGA-PBEsol) results for TaP4S5Cl5 after structural relaxation.

a = 6.7144 Å, b = 13.3248 Å, c = 17.9974 Å
α = 90.00°, β = 104.85°, γ = 90.00°
Last column: nearest neighbours and their distance in Å.
Sites, in units of the cell vectors:
Ta: 0.2190 0.1994 0.0341  5 Cl 2.26-2.33
Ta: 0.2190 0.3006 0.5341  5 Cl 2.26-2.33
Ta: 0.7810 0.6994 0.4659  5 Cl 2.26-2.33
Ta: 0.7810 0.8006 0.9659  5 Cl 2.26-2.33
P: 0.1169 0.0044 0.3078  3 S 2.12-2.13
P: 0.1169 0.4956 0.8078  3 S 2.12-2.13
P: 0.1816 0.1332 0.6158  2 S 2.09, 1 P 2.31
P: 0.1816 0.3668 0.1158  2 S 2.09, 1 P 2.31
P: 0.2684 0.1644 0.7461  2 S 2.11, 1 P 2.31
P: 0.2684 0.3356 0.2461  2 S 2.11, 1 P 2.31
P: 0.4147 0.5693 0.2043  3 S 2.12-2.14
P: 0.4147 0.9307 0.7043  3 S 2.12-2.14
P: 0.5853 0.0693 0.2957  3 S 2.12-2.14
P: 0.5853 0.4307 0.7957  3 S 2.12-2.14
P: 0.7316 0.6644 0.7539  2 S 2.11, 1 P 2.31
P: 0.7316 0.8356 0.2539  2 S 2.11, 1 P 2.31
P: 0.8184 0.6332 0.8842  2 S 2.09, 1 P 2.31
P: 0.8184 0.8668 0.3842  2 S 2.09, 1 P 2.31
P: 0.8831 0.5044 0.1922  3 S 2.12-2.13
P: 0.8831 0.9956 0.6922  3 S 2.12-2.13
S: 0.0039 0.6129 0.7286  2 P 2.11-2.12
S: 0.0039 0.8871 0.2286  2 P 2.11-2.12
S: 0.1126 0.6166 0.2045  2 P 2.12-2.13
S: 0.1126 0.8834 0.7045  2 P 2.12-2.13
S: 0.1188 0.5779 0.9093  2 P 2.09-2.13
S: 0.1188 0.9221 0.4093  2 P 2.09-2.13
S: 0.3805 0.0178 0.6019  2 P 2.09-2.14
S: 0.3805 0.4822 0.1019  2 P 2.09-2.14
S: 0.4935 0.0517 0.7832  2 P 2.11-2.12
S: 0.4935 0.4483 0.2832  2 P 2.11-2.12
S: 0.5065 0.5517 0.7168  2 P 2.11-2.12
S: 0.5065 0.9483 0.2168  2 P 2.11-2.12
S: 0.6195 0.5178 0.8981  2 P 2.09-2.14
S: 0.6195 0.9822 0.3981  2 P 2.09-2.14
S: 0.8812 0.0779 0.5907  2 P 2.09-2.13
S: 0.8812 0.4221 0.0907  2 P 2.09-2.13
S: 0.8874 0.1166 0.2955  2 P 2.12-2.13
S: 0.8874 0.3834 0.7955  2 P 2.12-2.13
S: 0.9961 0.1129 0.7714  2 P 2.11-2.12
S: 0.9961 0.3871 0.2714  2 P 2.11-2.12
Cl: 0.0870 0.1316 0.1312  1 Ta 2.33
Cl: 0.0870 0.3684 0.6312  1 Ta 2.33
Cl: 0.1146 0.7374 0.5330  1 Ta 2.31
Cl: 0.1146 0.7626 0.0330  1 Ta 2.31
Cl: 0.2607 0.0544 0.9747  1 Ta 2.26
Cl: 0.2607 0.4456 0.4747  1 Ta 2.26
Cl: 0.3400 0.1894 0.4559  1 Ta 2.33
Cl: 0.3400 0.3106 0.9559  1 Ta 2.33
Cl: 0.4608 0.7084 0.3770  1 Ta 2.33
Cl: 0.4608 0.7916 0.8770  1 Ta 2.33
Cl: 0.5392 0.2084 0.1230  1 Ta 2.33
Cl: 0.5392 0.2916 0.6230  1 Ta 2.33
Cl: 0.6600 0.6894 0.0441  1 Ta 2.33
Cl: 0.6600 0.8106 0.5441  1 Ta 2.33
Cl: 0.7393 0.5544 0.5253  1 Ta 2.26
Cl: 0.7393 0.9456 0.0253  1 Ta 2.26
Cl: 0.8854 0.2374 0.9670  1 Ta 2.31
Cl: 0.8854 0.2626 0.4670  1 Ta 2.31
Cl: 0.9130 0.6316 0.3688  1 Ta 2.33
Cl: 0.9130 0.8684 0.8688  1 Ta 2.33

SG ... P2_1/c, No. 14
Final energy ... -5.13 eV per atom
Raw formation energy ... -0.62 eV/atom
D(E_F) ... 0.00 states/eV/atom
Magnetization ... 0.000 μB/cell



Which value of magnetization does entry 3 give?
0.000 μB/cell



Among the records above, which one has the highest D(E_F)?
CeNi5



What is the D(E_F) in the first record?
0.55 states/eV/atom



Look up the final energy of the first one.
-5.63 eV per atom